Sm6CdHg5: optimized geometry, PBE-GGA.

a b c (Å): 6.6390 6.6390 9.4325
angles (deg): 96.38 96.38 118.41
With the nearest neighbours (Å) after each atom.
Fractional coordinates of all 12 atoms:
Sm: 0.0659 0.4081 0.7339  5 Hg 3.12-3.28, 1 Cd 3.37
Sm: 0.2219 0.2219 0.2259  1 Cd 3.14, 5 Hg 3.24-3.26
Sm: 0.4081 0.0659 0.7339  5 Hg 3.12-3.28, 1 Cd 3.37
Sm: 0.5919 0.9341 0.2661  5 Hg 3.12-3.28, 1 Cd 3.37
Sm: 0.7781 0.7781 0.7741  1 Cd 3.14, 5 Hg 3.24-3.26
Sm: 0.9341 0.5919 0.2661  5 Hg 3.12-3.28, 1 Cd 3.37
Cd: 0.5000 0.5000 0.0000  6 Sm 3.14-3.37, 2 Hg 3.44
Hg: 0.0000 0.0000 0.5000  6 Sm 3.12-3.26
Hg: 0.1981 0.8019 0.0000  6 Sm 3.13-3.28, 1 Cd 3.44
Hg: 0.3631 0.6369 0.5000  1 Hg 3.12, 6 Sm 3.15-3.27
Hg: 0.6369 0.3631 0.5000  1 Hg 3.12, 6 Sm 3.15-3.27
Hg: 0.8019 0.1981 0.0000  6 Sm 3.13-3.28, 1 Cd 3.44

Summary:
- Space-group type: C2/m
- Distance to the lowest polymorph of the same formula: 155 meV per atom
- Energy of formation: -0.29 eV/atom

SmCd2Hg: optimized geometry, PBE-GGA.

a b c (Å): 5.1380 5.1380 5.1380
angles (deg): 60.08 60.08 60.08
With the nearest neighbours (Å) after each atom.
Fractional coordinates of all 4 atoms:
Sm: 0.0000 0.0000 0.0000  4 Hg 3.15, 4 Cd 3.15
Cd: 0.2502 0.2502 0.2502  4 Cd 3.14-3.15, 4 Sm 3.15
Cd: 0.5000 0.5000 0.5000  4 Cd 3.14-3.15, 4 Hg 3.14-3.15
Hg: 0.7498 0.7498 0.7498  4 Cd 3.14-3.15, 4 Sm 3.15

Summary:
- Space-group type: R3m
- Distance to the lowest polymorph of the same formula: 0 meV per atom
- Energy of formation: -0.34 eV/atom